[1]
Ac2Si4GePd3, relaxed, DFT PBE; volume = 19.73 Å³/atom; space-group type = P-4m2 (115); formation energy from raw total energies = -71 kJ per mole of atoms
1.0
4.4273 0.0000 0.0000
0.0000 4.4273 0.0000
0.0000 0.0000 10.0651
Ac Pd Si Ge
2 3 4 1
Cartesian
0.0000 2.2137 7.5802
2.2137 0.0000 2.4849
2.2137 0.0000 8.8664
0.0000 2.2137 1.1987
0.0000 0.0000 5.0326
2.2137 2.2137 0.0000
0.0000 2.2137 3.7041
2.2137 0.0000 6.3610
0.0000 0.0000 0.0000
2.2137 2.2137 5.0326



[2]
Ac2Si3GePd4, relaxed, DFT PBE; volume = 19.82 Å³/atom; space-group type = P-4m2 (115); formation energy from raw total energies = -81 kJ per mole of atoms
1.0
-4.3402 0.8153 0.1239
-0.6378 -3.7391 2.2648
1.2016 5.0723 8.7125
Ac Si Pd Ge
2 3 4 1
Cartesian
0.5793 1.9218 7.6448
-1.8667 1.6886 2.2621
-0.1727 -1.2523 2.1927
-1.1147 4.8626 7.7142
0.6008 2.5361 4.3563
0.1263 0.0096 4.3602
0.0000 0.0000 0.0000
-1.4137 3.6008 5.5467
-2.4890 -1.4619 1.1943
-1.8882 1.0742 5.5506



[3]
Ac2SiGe3Pd4, relaxed, DFT PBE; volume = 20.42 Å³/atom; space-group type = P-4m2 (115); formation energy from raw total energies = -79 kJ per mole of atoms
1.0
4.4733 0.0000 0.0000
0.0000 4.4733 0.0000
0.0000 0.0000 10.2071
Pd Ge Ac Si
4 3 2 1
Cartesian
2.2366 2.2366 0.0000
2.2366 0.0000 6.3243
0.0000 2.2366 3.8829
0.0000 0.0000 0.0000
2.2366 0.0000 8.9136
0.0000 0.0000 5.1036
0.0000 2.2366 1.2936
2.2366 0.0000 2.5919
0.0000 2.2366 7.6152
2.2366 2.2366 5.1036



[4]
Ac2SiGePd6, relaxed, DFT PBE; volume = 21.10 Å³/atom; space-group type = P-1 (2); formation energy from raw total energies = -76 kJ per mole of atoms
1.0
-2.1952 5.0299 -3.7067
-6.0175 -3.2608 0.2029
-5.9967 1.8428 2.7437
Pd Ac Ge Si
6 2 1 1
Cartesian
-4.9556 1.3597 0.4835
-2.5475 0.0467 -0.0733
-3.2479 2.9447 -2.7243
-11.6620 3.5652 -0.6868
-9.2539 2.2522 -1.2437
-10.9616 0.6672 1.9641
-6.2932 3.7787 -1.1599
-7.9162 -0.1668 0.3997
0.0000 0.0000 0.0000
-4.1064 0.8845 -1.7519